Here is LiNdTl3 after structural relaxation from Alexandria via LeMat-Bulk. Energies are from GGA-PBE.

Unit cell a=5.0852 b=5.0852 c=5.0852 alpha=90.00 beta=90.00 gamma=90.00
Last column: nearest neighbours and their distance in Å.
Fractional coordinates of all 5 atoms:
Tl 0.5000 0.0000 0.0000  2 Li 2.54
Tl 0.0000 0.5000 0.0000  2 Li 2.54
Tl 0.0000 0.0000 0.5000  2 Li 2.54
Li 0.0000 0.0000 0.0000  6 Tl 2.54
Nd 0.5000 0.5000 0.5000  12 Tl 3.60

Summary:
Excess energy over the best structure of this formula in the dataset = 9.54 kJ per mole of atoms
ΔE_f = -0.100 eV/atom
Space-group type = Pm-3m (221)
Uncorrected energy = -2.86 eV per atom